--- A ---
Density functional theory data (PBE-GGA) for crystalline NiTeP at its relaxed geometry.

a b c (Å): 4.3044 4.3044 4.3044
angles (deg): 60.00 60.00 60.00
Last column: nearest neighbours and their distance in Å.
Positions (direct):
Ni 0.7500 0.7500 0.7500  4 Te 2.64, 4 P 2.64
Te 0.5000 0.5000 0.5000  4 Ni 2.64
P 0.0000 0.0000 0.0000  4 Ni 2.64

Fermi-level density of states in states/eV/cell: 1.36
Space-group type: F-43m (216)

***

--- B ---
Density functional theory data (PBE-GGA) for crystalline NiTeP at its relaxed geometry.

a b c (Å): 4.4437 4.4437 4.4437
angles (deg): 60.00 60.00 60.00
Last column: nearest neighbours and their distance in Å.
Positions (direct):
Ni 0.0000 0.0000 0.0000  4 Te 2.72
Te 0.7500 0.7500 0.7500  4 Ni 2.72, 4 P 2.72
P 0.5000 0.5000 0.5000  4 Te 2.72

Fermi-level density of states in states/eV/cell: 2.38
Space-group type: F-43m (216)

***

Quick ranking, most stable first: A, B.

***

--- A ---
Density functional theory data (PBE-GGA) for crystalline NiTeP at its relaxed geometry.

a b c (Å): 3.6308 6.1342 12.0627
angles (deg): 90.00 90.00 90.00
Last column: nearest neighbours and their distance in Å.
Positions (direct):
Ni 0.7500 0.4185 0.0567  3 P 2.27, 2 Ni 2.48
Ni 0.2500 0.9185 0.4433  3 P 2.27, 2 Ni 2.48
Ni 0.2500 0.5815 0.9433  3 P 2.27, 2 Ni 2.48
Ni 0.7500 0.0815 0.5567  3 P 2.27, 2 Ni 2.48
Te 0.7500 0.6721 0.3553  1 P 2.54, 2 Ni 2.59
Te 0.2500 0.1721 0.1447  1 P 2.54, 2 Ni 2.59
Te 0.2500 0.3279 0.6447  1 P 2.54, 2 Ni 2.59
Te 0.7500 0.8279 0.8553  1 P 2.54, 2 Ni 2.59
P 0.7500 0.0850 0.3683  3 Ni 2.27, 1 Te 2.54
P 0.2500 0.5850 0.1317  3 Ni 2.27, 1 Te 2.54
P 0.2500 0.9150 0.6317  3 Ni 2.27, 1 Te 2.54
P 0.7500 0.4150 0.8683  3 Ni 2.27, 1 Te 2.54

Fermi-level density of states in states/eV/cell: 6.44
Space-group type: Pnma (62)

***

--- B ---
Density functional theory data (PBE-GGA) for crystalline NiTeP at its relaxed geometry.

a b c (Å): 5.9502 5.9502 5.9502
angles (deg): 90.00 90.00 90.00
Last column: nearest neighbours and their distance in Å.
Positions (direct):
Ni 0.0251 0.0251 0.0251  3 P 2.35, 3 Te 2.60
Ni 0.4749 0.9749 0.5251  3 P 2.35, 3 Te 2.60
Ni 0.5251 0.4749 0.9749  3 P 2.35, 3 Te 2.60
Ni 0.9749 0.5251 0.4749  3 P 2.35, 3 Te 2.60
Te 0.3708 0.3708 0.3708  1 P 2.58, 3 Ni 2.60
Te 0.1292 0.6292 0.8708  1 P 2.58, 3 Ni 2.60
Te 0.8708 0.1292 0.6292  1 P 2.58, 3 Ni 2.60
Te 0.6292 0.8708 0.1292  1 P 2.58, 3 Ni 2.60
P 0.6214 0.6214 0.6214  3 Ni 2.35, 1 Te 2.58
P 0.8786 0.3786 0.1214  3 Ni 2.35, 1 Te 2.58
P 0.1214 0.8786 0.3786  3 Ni 2.35, 1 Te 2.58
P 0.3786 0.1214 0.8786  3 Ni 2.35, 1 Te 2.58

Fermi-level density of states in states/eV/cell: 9.18
Space-group type: P2_13 (198)

***

--- C ---
Density functional theory data (PBE-GGA) for crystalline NiTeP at its relaxed geometry.

a b c (Å): 6.3523 6.3523 6.3523
angles (deg): 151.62 151.62 40.57
Last column: nearest neighbours and their distance in Å.
Positions (direct):
Ni 0.8918 0.8918 0.0000  4 P 2.28
Te 0.6672 0.6672 0.0000  1 Ni 2.68, 1 P 2.70
P 0.4410 0.4410 0.0000  4 Ni 2.28

Fermi-level density of states in states/eV/cell: 1.57
Space-group type: I4mm (107)

***

--- D ---
Density functional theory data (PBE-GGA) for crystalline NiTeP at its relaxed geometry.

a b c (Å): 3.6861 3.6861 4.6659
angles (deg): 90.00 90.00 120.00
Last column: nearest neighbours and their distance in Å.
Positions (direct):
Ni 0.0000 0.0000 0.0400  3 P 2.30, 3 Te 2.56
Te 0.3333 0.6667 0.7333  3 Ni 2.56
P 0.6667 0.3333 0.2267  3 Ni 2.30

Fermi-level density of states in states/eV/cell: 0.91
Space-group type: P3m1 (156)

***

Quick ranking, most stable first: B, D, C, A.

***

--- A ---
Density functional theory data (PBE-GGA) for crystalline NiTeP at its relaxed geometry.

a b c (Å): 5.9393 6.1746 6.2186
angles (deg): 105.43 90.00 90.00
Last column: nearest neighbours and their distance in Å.
Positions (direct):
Ni 0.0256 0.2602 0.2812  3 P 2.29-2.31
Ni 0.4744 0.7602 0.2812  3 P 2.29-2.31
Ni 0.9744 0.7398 0.7188  3 P 2.29-2.31
Ni 0.5256 0.2398 0.7188  3 P 2.29-2.31
Te 0.6259 0.3444 0.1557  3 Ni 2.59-2.69, 1 P 2.61
Te 0.3741 0.6556 0.8443  3 Ni 2.59-2.69, 1 P 2.61
Te 0.8741 0.8444 0.1557  3 Ni 2.59-2.69, 1 P 2.61
Te 0.1259 0.1556 0.8443  3 Ni 2.59-2.69, 1 P 2.61
P 0.6331 0.8674 0.6297  3 Ni 2.29-2.31
P 0.3669 0.1326 0.3703  3 Ni 2.29-2.31
P 0.1331 0.6326 0.3703  3 Ni 2.29-2.31
P 0.8669 0.3674 0.6297  3 Ni 2.29-2.31

Fermi-level density of states in states/eV/cell: 7.04
Space-group type: P2_1/c (14)

***

--- B ---
Density functional theory data (PBE-GGA) for crystalline NiTeP at its relaxed geometry.

a b c (Å): 6.2140 5.9865 3.2922
angles (deg): 78.20 70.57 31.24
Last column: nearest neighbours and their distance in Å.
Positions (direct):
Ni 0.0260 0.0260 0.9740  2 P 2.20
Te 0.3682 0.3682 0.6318  1 P 2.68, 2 Ni 2.68
P 0.6057 0.6057 0.3943  2 Ni 2.20

Fermi-level density of states in states/eV/cell: 1.30
Space-group type: Fmm2 (42)

***

Quick ranking, most stable first: A, B.

***

--- A ---
Density functional theory data (PBE-GGA) for crystalline NiTe3P at its relaxed geometry.

a b c (Å): 5.1492 5.1492 5.1492
angles (deg): 90.00 90.00 90.00
Last column: nearest neighbours and their distance in Å.
Positions (direct):
Ni 0.5000 0.5000 0.5000  12 Te 3.64
Te 0.0000 0.5000 0.0000  2 P 2.57
Te 0.0000 0.0000 0.5000  2 P 2.57
Te 0.5000 0.0000 0.0000  2 P 2.57
P 0.0000 0.0000 0.0000  6 Te 2.57

Fermi-level density of states in states/eV/cell: 7.96
Space-group type: Pm-3m (221)

***

--- B ---
Density functional theory data (PBE-GGA) for crystalline NiTe3P at its relaxed geometry.

a b c (Å): 4.9588 4.9588 4.9588
angles (deg): 90.00 90.00 90.00
Last column: nearest neighbours and their distance in Å.
Positions (direct):
Ni 0.0000 0.0000 0.0000  6 Te 2.48
Te 0.0000 0.5000 0.0000  2 Ni 2.48
Te 0.0000 0.0000 0.5000  2 Ni 2.48
Te 0.5000 0.0000 0.0000  2 Ni 2.48
P 0.5000 0.5000 0.5000  12 Te 3.51

Fermi-level density of states in states/eV/cell: 4.59
Space-group type: Pm-3m (221)

***

Quick ranking, most stable first: B, A.

***

--- A ---
Density functional theory data (PBE-GGA) for crystalline Tl2NiP at its relaxed geometry.

a b c (Å): 3.2119 3.2119 8.0619
angles (deg): 90.00 90.00 102.52
Last column: nearest neighbours and their distance in Å.
Positions (direct):
Tl 0.0000 0.0000 0.2736  2 Ni 2.71, 2 P 2.98
Tl 0.0000 0.0000 0.7264  2 Ni 2.71, 2 P 2.98
Ni 0.5000 0.5000 0.5000  4 Tl 2.71
P 0.5000 0.5000 0.0000  8 Tl 2.98-3.34, 4 P 3.21

Fermi-level density of states in states/eV/cell: 2.58
Space-group type: Cmmm (65)

***

--- B ---
Density functional theory data (PBE-GGA) for crystalline Tl2NiP at its relaxed geometry.

a b c (Å): 5.1927 5.1927 5.1927
angles (deg): 135.81 118.68 78.64
Last column: nearest neighbours and their distance in Å.
Positions (direct):
Tl 0.7625 0.7625 0.0000  2 Ni 2.73, 2 P 2.87
Tl 0.2375 0.2375 0.0000  2 Ni 2.73, 2 P 2.87
Ni 0.0000 0.5000 0.5000  4 Tl 2.73
P 0.5000 0.0000 0.5000  4 Tl 2.87

Fermi-level density of states in states/eV/cell: 2.56
Space-group type: Immm (71)

***

--- C ---
Density functional theory data (PBE-GGA) for crystalline Tl2NiP at its relaxed geometry.

a b c (Å): 3.7951 3.7951 8.2755
angles (deg): 76.75 76.75 60.01
Last column: nearest neighbours and their distance in Å.
Positions (direct):
Ni 0.5416 0.5416 0.3752  3 P 2.19
Tl 0.9696 0.9696 0.0910  3 P 3.15, 3 Ni 3.15
Tl 0.7804 0.7804 0.6589  3 Ni 3.15, 3 P 3.15
P 0.2083 0.2083 0.3749  3 Ni 2.19

Fermi-level density of states in states/eV/cell: 2.09
Space-group type: R3m (160)

***

--- D ---
Density functional theory data (PBE-GGA) for crystalline Tl2NiP at its relaxed geometry.

a b c (Å): 4.8868 4.8868 4.8868
angles (deg): 60.00 60.00 60.00
Last column: nearest neighbours and their distance in Å.
Positions (direct):
Ni 0.5000 0.5000 0.5000  8 Tl 2.99
Tl 0.2500 0.2500 0.2500  4 Ni 2.99, 4 P 2.99
Tl 0.7500 0.7500 0.7500  4 P 2.99, 4 Ni 2.99
P 0.0000 0.0000 0.0000  8 Tl 2.99

Fermi-level density of states in states/eV/cell: 2.33
Space-group type: Fm-3m (225)

***

Quick ranking, most stable first: C, A, B, D.